[1]
A relaxed structure of SrSnF3. Source: Alexandria via LeMat-Bulk, functional PBE-GGA.

The space group is Pm-3m (No. 221) and the conventional cell measures 4.775, 4.775 and 4.775 Å, with angles of 90.00, 90.00 and 90.00 degrees. The distinct sites, in fractional coordinates, are Sr at (0.000, 0.000, 0.000), Sn at (0.500, 0.500, 0.500) and F at (0.000, 0.500, 0.500).

The value obtained for the total energy is -22.1 eV per formula unit. The value obtained for the raw formation energy is -2.15 eV/atom. The magnetization comes out at 0.00 μB per cell. Its relative energy among the computed polymorphs is 0.337 eV/atom. For the density, the calculation gives 4.02 Mg/m³.

[2]
A relaxed structure of CdGa2Ag3. Source: Alexandria via LeMat-Bulk, functional PBE-GGA.

The space group is Pmmn (No. 59, origin choice 2) and the conventional cell measures 4.998, 8.810 and 4.991 Å, with angles of 90.00, 90.00 and 90.00 degrees. The distinct sites, in fractional coordinates, are Cd at (0.250, 0.250, 0.106), Ga at (0.250, 0.585, 0.097), Ag at (0.250, 0.077, 0.605) and Ag at (0.250, 0.750, 0.579).

The value obtained for the total energy is -15.6 eV per formula unit. The magnetization comes out at 0.00 μB per cell. For the density, the calculation gives 8.70 Mg/m³. The formation energy from the elements is -0.01 eV/atom.

[3]
A relaxed structure of TaH2Cl. Source: Alexandria via LeMat-Bulk, functional PBE-GGA.

The space group is I-42d (No. 122) and the conventional cell measures 6.053, 6.053 and 5.020 Å, with angles of 90.00, 90.00 and 90.00 degrees. The distinct sites, in fractional coordinates, are Ta at (0.000, 0.000, 0.000), H at (0.149, 0.250, 0.125) and Cl at (0.000, 0.000, 0.500).

The value obtained for the total energy is -20.2 eV per formula unit. The magnetization comes out at 0.00 μB per cell. Its relative energy among the computed polymorphs is 0.412 eV/atom. For the density, the calculation gives 7.89 Mg/m³.

[4]
A relaxed structure of LaHf3F. Source: Alexandria via LeMat-Bulk, functional PBE-GGA.

The space group is Pm-3m (No. 221) and the conventional cell measures 4.756, 4.756 and 4.756 Å, with angles of 90.00, 90.00 and 90.00 degrees. The distinct sites, in fractional coordinates, are La at (0.000, 0.000, 0.000), Hf at (0.000, 0.500, 0.500) and F at (0.500, 0.500, 0.500).

The value obtained for the total energy is -38.4 eV per formula unit. The value obtained for the raw formation energy is -0.36 eV/atom. The magnetization comes out at 0.00 μB per cell. Its relative energy among the computed polymorphs is 0.000 eV/atom. For the density, the calculation gives 10.71 Mg/m³.

[5]
A relaxed structure of Hf3TiH4. Source: Alexandria via LeMat-Bulk, functional PBE-GGA.

The space group is Pmn2_1 (No. 31) and the conventional cell measures 6.951, 5.163 and 5.169 Å, with angles of 90.00, 90.00 and 90.00 degrees. The distinct sites, in fractional coordinates, are Hf at (0.000, 0.242, 0.000), Hf at (0.250, 0.259, 0.500), Ti at (0.000, 0.756, 0.500), H at (0.000, 0.102, 0.365), H at (0.000, 0.879, 0.849) and H at (0.240, 0.632, 0.375).

The value obtained for the total energy is -53.6 eV per formula unit. The magnetization comes out at 0.00 μB per cell. For the density, the calculation gives 10.52 Mg/m³.

[6]
A relaxed structure of Mg3Cu5. Source: Alexandria via LeMat-Bulk, functional PBE-GGA.

The space group is Cmcm (No. 63) and the conventional cell measures 13.409, 7.725 and 4.753 Å, with angles of 90.00, 90.00 and 90.00 degrees. The distinct sites, in fractional coordinates, are Mg at (0.000, 0.111, 0.250), Mg at (0.194, 0.306, 0.750), Cu at (0.000, 0.309, 0.750), Cu at (0.095, 0.404, 0.250) and Cu at (0.166, 0.000, 0.000).

The value obtained for the total energy is -24.7 eV per formula unit. The magnetization comes out at 0.00 μB per cell. Its relative energy among the computed polymorphs is 0.128 eV/atom. For the density, the calculation gives 5.27 Mg/m³. The formation energy from the elements is 0.07 eV/atom.

[7]
A relaxed structure of ScMo2Pb. Source: Alexandria via LeMat-Bulk, functional PBE-GGA.

The space group is R3m (No. 160, hexagonal axes) and the conventional cell measures 3.1933, 3.1933 and 27.5709 Å, with angles of 90.00, 90.00 and 120.00 degrees. The distinct sites, in fractional coordinates, are Sc at (0.0000, 0.0000, 0.0000), Mo at (0.0000, 0.0000, 0.4792), Mo at (0.0000, 0.0000, 0.7464) and Pb at (0.0000, 0.0000, 0.2347).

The value obtained for the total energy is -30.7 eV per formula unit. The magnetization comes out at 0.00 μB per cell. For the density, the calculation gives 9.08 Mg/m³. The formation energy from the elements is 0.26 eV/atom.

[8]
A relaxed structure of Nd4Hg3Au. Source: Alexandria via LeMat-Bulk, functional PBE-GGA.

The space group is P4/mmm (No. 123) and the conventional cell measures 3.806, 3.806 and 15.259 Å, with angles of 90.00, 90.00 and 90.00 degrees. The distinct sites, in fractional coordinates, are Nd at (0.000, 0.000, 0.117), Nd at (0.000, 0.000, 0.372), Hg at (0.500, 0.500, 0.248), Hg at (0.500, 0.500, 0.500) and Au at (0.500, 0.500, 0.000).

The value obtained for the total energy is -27.6 eV per formula unit. The magnetization comes out at 0.71 μB per cell. For the density, the calculation gives 10.34 Mg/m³. The formation energy from the elements is -0.54 eV/atom.

[9]
A relaxed structure of Y3InPb. Source: Alexandria via LeMat-Bulk, functional PBE-GGA.

The space group is Cmmm (No. 65) and the conventional cell measures 8.299, 15.412 and 5.353 Å, with angles of 90.00, 90.00 and 90.00 degrees. The distinct sites, in fractional coordinates, are Y at (0.000, 0.193, 0.000), Y at (0.189, 0.500, 0.500), Y at (0.250, 0.250, 0.500), In at (0.000, 0.397, 0.000) and Pb at (0.000, 0.103, 0.500).

The value obtained for the total energy is -25.8 eV per formula unit. The magnetization comes out at 0.75 μB per cell. Its relative energy among the computed polymorphs is 0.000 eV/atom. For the density, the calculation gives 5.71 Mg/m³. The formation energy from the elements is 0.00 eV/atom.

[10]
A relaxed structure of Sr2ZrBeCr. Source: Alexandria via LeMat-Bulk, functional PBE-GGA.

The space group is P4/mmm (No. 123) and the conventional cell measures 6.216, 6.216 and 4.597 Å, with angles of 90.00, 90.00 and 90.00 degrees. The distinct sites, in fractional coordinates, are Sr at (0.000, 0.500, 0.000), Zr at (0.000, 0.000, 0.000), Be at (0.500, 0.500, 0.500) and Cr at (0.000, 0.000, 0.500).

The value obtained for the total energy is -18.3 eV per formula unit. The magnetization comes out at 2.03 μB per cell. For the density, the calculation gives 3.06 Mg/m³. The formation energy from the elements is 1.39 eV/atom.

[11]
A relaxed structure of KTaTe2N. Source: Alexandria via LeMat-Bulk, functional PBE-GGA.

The space group is P4/mmm (No. 123) and the conventional cell measures 5.779, 5.779 and 3.939 Å, with angles of 90.00, 90.00 and 90.00 degrees. The distinct sites, in fractional coordinates, are K at (0.000, 0.000, 0.000), Ta at (0.500, 0.500, 0.500), Te at (0.000, 0.500, 0.500) and N at (0.500, 0.500, 0.000).

The value obtained for the total energy is -29.1 eV per formula unit. The value obtained for the raw formation energy is -0.30 eV/atom. The magnetization comes out at 0.00 μB per cell. Its relative energy among the computed polymorphs is 0.000 eV/atom. For the density, the calculation gives 6.18 Mg/m³.

[12]
A relaxed structure of Be2InMo. Source: Alexandria via LeMat-Bulk, functional PBE-GGA.

The space group is R-3m (No. 166, hexagonal axes) and the conventional cell measures 2.8822, 2.8822 and 25.0323 Å, with angles of 90.00, 90.00 and 120.00 degrees. The distinct sites, in fractional coordinates, are Be at (0.0000, 0.0000, 0.2445), In at (0.0000, 0.0000, 0.0000) and Mo at (0.0000, 0.0000, 0.5000).

The value obtained for the total energy is -18.8 eV per formula unit. The magnetization comes out at 0.00 μB per cell. For the density, the calculation gives 6.33 Mg/m³. The formation energy from the elements is 0.55 eV/atom.

[13]
A relaxed structure of NpPb4. Source: Alexandria via LeMat-Bulk, functional PBE-GGA.

The space group is Pm-3m (No. 221) and the conventional cell measures 5.884, 5.884 and 5.884 Å, with angles of 90.00, 90.00 and 90.00 degrees. The distinct sites, in fractional coordinates, are Np at (0.000, 0.000, 0.000), Pb at (0.000, 0.000, 0.500) and Pb at (0.500, 0.500, 0.500).

The value obtained for the total energy is -23.8 eV per formula unit. The magnetization comes out at 4.51 μB per cell. For the density, the calculation gives 8.69 Mg/m³. The formation energy from the elements is 0.80 eV/atom.

[14]
A relaxed structure of Pm2HoTlO. Source: Alexandria via LeMat-Bulk, functional PBE-GGA.

The space group is P4/mmm (No. 123) and the conventional cell measures 4.969, 4.969 and 4.731 Å, with angles of 90.00, 90.00 and 90.00 degrees. The distinct sites, in fractional coordinates, are Pm at (0.000, 0.500, 0.000), Ho at (0.000, 0.000, 0.500), Tl at (0.500, 0.500, 0.500) and O at (0.000, 0.000, 0.000).

The value obtained for the total energy is -28.2 eV per formula unit. The value obtained for the raw formation energy is -1.35 eV/atom. The magnetization comes out at 0.00 μB per cell. For the density, the calculation gives 9.60 Mg/m³.

[15]
A relaxed structure of CeDyEr2N4. Source: Alexandria via LeMat-Bulk, functional PBE-GGA.

The space group is P2/m (No. 10) and the conventional cell measures 6.008, 3.476 and 6.008 Å, with angles of 90.00, 109.30 and 90.00 degrees. The distinct sites, in fractional coordinates, are Ce at (0.000, 0.000, 0.000), Dy at (0.500, 0.500, 0.000), Er at (0.000, 0.500, 0.500), Er at (0.500, 0.000, 0.500), N at (0.247, 0.000, 0.748) and N at (0.251, 0.500, 0.254).

The value obtained for the total energy is -66.4 eV per formula unit. The value obtained for the raw formation energy is -1.68 eV/atom. The magnetization comes out at 0.14 μB per cell. For the density, the calculation gives 9.72 Mg/m³.

[16]
A relaxed structure of Rb2ScPS6. Source: Alexandria via LeMat-Bulk, functional PBE-GGA.

The space group is P-3m1 (No. 164) and the conventional cell measures 7.2218, 7.2218 and 6.1055 Å, with angles of 90.00, 90.00 and 120.00 degrees. The distinct sites, in fractional coordinates, are Rb at (0.3333, 0.6667, 0.2173), Sc at (0.0000, 0.0000, 0.5000), P at (0.0000, 0.0000, 0.0000) and S at (0.1469, 0.2937, 0.7909).

The value obtained for the total energy is -45.8 eV per formula unit. The value obtained for the raw formation energy is -0.73 eV/atom. The magnetization comes out at 0.00 μB per cell. For the density, the calculation gives 2.64 Mg/m³.

[17]
A relaxed structure of Tb2Er3Sc4. Source: Alexandria via LeMat-Bulk, functional PBE-GGA.

The space group is C2/c (No. 15) and the conventional cell measures 15.761, 11.027 and 5.843 Å, with angles of 90.00, 95.82 and 90.00 degrees. The distinct sites, in fractional coordinates, are Tb at (0.128, 0.144, 0.318), Er at (0.000, 0.101, 0.750), Er at (0.162, 0.406, 0.618), Sc at (0.042, 0.361, 0.020) and Sc at (0.220, 0.143, 0.846).

The value obtained for the total energy is -47.3 eV per formula unit. The magnetization comes out at 0.00 μB per cell. For the density, the calculation gives 6.57 Mg/m³. The formation energy from the elements is 0.11 eV/atom.

[18]
A relaxed structure of AcCd3Au3. Source: Alexandria via LeMat-Bulk, functional PBE-GGA.

The space group is R-3 (No. 148, hexagonal axes) and the conventional cell measures 7.5336, 7.5336 and 20.3218 Å, with angles of 90.00, 90.00 and 120.00 degrees. The distinct sites, in fractional coordinates, are Ac at (0.0000, 0.0000, 0.1464), Cd at (0.0658, 0.5951, 0.3643) and Au at (0.0350, 0.2450, 0.4413).

The value obtained for the total energy is -19.1 eV per formula unit. The magnetization comes out at 0.00 μB per cell. Its relative energy among the computed polymorphs is 0.068 eV/atom. For the density, the calculation gives 11.52 Mg/m³. The formation energy from the elements is -0.35 eV/atom.

[19]
A relaxed structure of Ac3Ni4Sn2Ge2. Source: Alexandria via LeMat-Bulk, functional PBE-GGA.

The space group is P-3m1 (No. 164) and the conventional cell measures 4.3036, 4.3036 and 16.0528 Å, with angles of 90.00, 90.00 and 120.00 degrees. The distinct sites, in fractional coordinates, are Ac at (0.0000, 0.0000, 0.0000), Ac at (0.0000, 0.0000, 0.2714), Ni at (0.3333, 0.6667, 0.4008), Ni at (0.3333, 0.6667, 0.8629), Sn at (0.3333, 0.6667, 0.5653) and Ge at (0.3333, 0.6667, 0.1374).

The value obtained for the total energy is -58.0 eV per formula unit. The magnetization comes out at 0.00 μB per cell. For the density, the calculation gives 8.37 Mg/m³. The formation energy from the elements is -0.49 eV/atom.

[20]
A relaxed structure of NdYSi2Pd5. Source: Alexandria via LeMat-Bulk, functional PBE-GGA.

The space group is P4/mmm (No. 123) and the conventional cell measures 4.220, 4.220 and 9.037 Å, with angles of 90.00, 90.00 and 90.00 degrees. The distinct sites, in fractional coordinates, are Nd at (0.000, 0.000, 0.000), Y at (0.000, 0.000, 0.500), Si at (0.500, 0.500, 0.370), Pd at (0.000, 0.500, 0.237) and Pd at (0.500, 0.500, 0.000).

The value obtained for the total energy is -56.1 eV per formula unit. The value obtained for the raw formation energy is -0.90 eV/atom. The magnetization comes out at 0.00 μB per cell. For the density, the calculation gives 8.48 Mg/m³.